Below is a relaxed InTeIrCl crystal, with properties calculated at the GGA-PBE level.

Computed properties:
* DOS at the Fermi energy: 0.116 states/eV/atom
* energy relative to the elements, uncorrected: -0.110 eV/atom
* M_tot: 0.00 μB per formula unit
* space-group type: No. 160
* E above lowest polymorph: 0.254 eV/atom

abc: 8.749 8.749 8.749
angles: 25.51 25.51 25.51
Atoms (fractional coordinates):
In 0.000 0.000 0.000
Te 0.223 0.223 0.223
Ir 0.508 0.508 0.508
Cl 0.411 0.411 0.411